Computed, not measured: a geometry-optimized AcLaCeTl structure at the PBE level of DFT.

Summary:
Energy relative to the elements = 0.032 eV per atom
ρ = 8.8 g/cm³

a = 5.747 Å, b = 5.747 Å, c = 5.747 Å
α = 60.00°, β = 60.00°, γ = 60.00°
Last column: magnetic moment on the atom in μB.
Atoms (fractional coordinates):
La 0.000 0.000 0.000  0.12
Ce 0.500 0.500 0.500  0.92
Ac 0.250 0.250 0.250  0.14
Tl 0.750 0.750 0.750  0.00